TiNbTcW | PBE-GGA | optimized geometry Values from VASP.

Calculated values
Calculated formation energy, eV/atom: -0.208
Space-group type: F-43m
Energy relative to the lowest polymorph listed for this composition, eV per formula unit: 0.00
Density of states at the Fermi level, states/eV per cell: 3.11

Structure (Quantum ESPRESSO input):
```
&SYSTEM
  ibrav = 0, nat = 4, ntyp = 4
/
ATOMIC_SPECIES
Tc 98.00 Tc.upf
Nb 92.91 Nb.upf
W 183.84 W.upf
Ti 47.87 Ti.upf
ATOMIC_POSITIONS crystal
Tc 0.000 0.000 0.000
Nb 0.750 0.750 0.750
W 0.500 0.500 0.500
Ti 0.250 0.250 0.250
CELL_PARAMETERS angstrom
-2.681 -0.138 3.611
-3.644 -2.639 -0.003
-0.111 -3.685 2.580
```

TiNbZnTc2 | PBE-GGA | optimized geometry Values from VASP.

Calculated values
Calculated formation energy, eV/atom: 1.316
Space-group type: P4/mmm
Density of states at the Fermi level, states/eV per cell: 8.33

Structure (Quantum ESPRESSO input):
```
&SYSTEM
  ibrav = 0, nat = 5, ntyp = 4
/
ATOMIC_SPECIES
Tc 98.00 Tc.upf
Nb 92.91 Nb.upf
Zn 65.41 Zn.upf
Ti 47.87 Ti.upf
ATOMIC_POSITIONS crystal
Tc 0.500 0.000 0.000
Tc 0.000 0.000 0.500
Nb 0.000 0.500 0.000
Zn 0.000 0.000 0.000
Ti 0.500 0.500 0.500
CELL_PARAMETERS angstrom
-0.199 -2.863 -3.497
-3.369 -2.323 2.094
-3.071 2.654 -1.998
```

ZrTiNbTc | PBE-GGA | optimized geometry Values from VASP.

Calculated values
Calculated formation energy, eV/atom: -0.126
Space-group type: F-43m
Density of states at the Fermi level, states/eV per cell: 6.34

Structure (Quantum ESPRESSO input):
```
&SYSTEM
  ibrav = 0, nat = 4, ntyp = 4
/
ATOMIC_SPECIES
Ti 47.87 Ti.upf
Tc 98.00 Tc.upf
Nb 92.91 Nb.upf
Zr 91.22 Zr.upf
ATOMIC_POSITIONS crystal
Ti 0.250 0.250 0.250
Tc 0.750 0.750 0.750
Nb 0.500 0.500 0.500
Zr 0.000 0.000 0.000
CELL_PARAMETERS angstrom
-1.569 -1.132 -4.215
-2.015 -4.119 -0.695
-4.564 -0.246 -0.787
```

NbTlTc3 | PBE-GGA | optimized geometry Values from VASP.

Calculated values
Calculated formation energy, eV/atom: 2.592
Space-group type: Pm-3m
Energy relative to the lowest polymorph listed for this composition, eV per formula unit: 4.75
Density of states at the Fermi level, states/eV per cell: 8.81

Structure (Quantum ESPRESSO input):
```
&SYSTEM
  ibrav = 0, nat = 5, ntyp = 3
/
ATOMIC_SPECIES
Tl 204.38 Tl.upf
Nb 92.91 Nb.upf
Tc 98.00 Tc.upf
ATOMIC_POSITIONS crystal
Tl 0.000 0.000 0.000
Nb 0.500 0.500 0.500
Tc 0.000 0.000 0.500
Tc 0.000 0.500 0.000
Tc 0.500 0.000 0.000
CELL_PARAMETERS angstrom
-4.641 -1.002 0.908
-0.580 -1.457 -4.572
1.221 -4.499 1.279
```

NbTl2Tc | PBE-GGA | optimized geometry Values from VASP.

Calculated values
Calculated formation energy, eV/atom: 0.970
Space-group type: I-42d
Energy relative to the lowest polymorph listed for this composition, eV per formula unit: 1.07
Density of states at the Fermi level, states/eV per cell: 6.02

Structure (Quantum ESPRESSO input):
```
&SYSTEM
  ibrav = 0, nat = 8, ntyp = 3
/
ATOMIC_SPECIES
Tl 204.38 Tl.upf
Tc 98.00 Tc.upf
Nb 92.91 Nb.upf
ATOMIC_POSITIONS crystal
Tl 0.375 0.363 0.750
Tl 0.875 0.887 0.750
Tl 0.637 0.125 0.250
Tl 0.113 0.625 0.250
Tc 0.750 0.250 0.500
Tc 0.000 0.000 0.000
Nb 0.250 0.750 0.500
Nb 0.500 0.500 0.000
CELL_PARAMETERS angstrom
7.729 0.000 0.000
0.000 7.729 0.000
3.864 3.864 2.913
```

NbTlTc3 | PBE-GGA | optimized geometry Values from VASP.

Calculated values
Calculated formation energy, eV/atom: 1.642
Space-group type: Pm-3m
Energy relative to the lowest polymorph listed for this composition, eV per formula unit: 0.00
Density of states at the Fermi level, states/eV per cell: 4.09

Structure (Quantum ESPRESSO input):
```
&SYSTEM
  ibrav = 0, nat = 5, ntyp = 3
/
ATOMIC_SPECIES
Tc 98.00 Tc.upf
Tl 204.38 Tl.upf
Nb 92.91 Nb.upf
ATOMIC_POSITIONS crystal
Tc 0.000 0.500 0.000
Tc 0.000 0.000 0.500
Tc 0.500 0.000 0.000
Tl 0.500 0.500 0.500
Nb 0.000 0.000 0.000
CELL_PARAMETERS angstrom
-0.592 4.339 1.944
1.167 -1.766 4.298
4.609 1.004 -0.839
```

Nb3TlTc | PBE-GGA | optimized geometry Values from VASP.

Calculated values
Calculated formation energy, eV/atom: 0.930
Space-group type: Pm-3m
Energy relative to the lowest polymorph listed for this composition, eV per formula unit: 0.00
Density of states at the Fermi level, states/eV per cell: 3.71

Structure (Quantum ESPRESSO input):
```
&SYSTEM
  ibrav = 0, nat = 5, ntyp = 3
/
ATOMIC_SPECIES
Nb 92.91 Nb.upf
Tc 98.00 Tc.upf
Tl 204.38 Tl.upf
ATOMIC_POSITIONS crystal
Nb 0.000 0.500 0.000
Nb 0.500 0.000 0.000
Nb 0.000 0.000 0.500
Tc 0.000 0.000 0.000
Tl 0.500 0.500 0.500
CELL_PARAMETERS angstrom
4.844 0.000 0.000
0.000 4.844 0.000
0.000 0.000 4.844
```

NbTl2Tc | PBE-GGA | optimized geometry Values from VASP.

Calculated values
Calculated formation energy, eV/atom: 0.704
Space-group type: Fm-3m
Energy relative to the lowest polymorph listed for this composition, eV per formula unit: 0.00
Density of states at the Fermi level, states/eV per cell: 3.51

Structure (Quantum ESPRESSO input):
```
&SYSTEM
  ibrav = 0, nat = 4, ntyp = 3
/
ATOMIC_SPECIES
Nb 92.91 Nb.upf
Tc 98.00 Tc.upf
Tl 204.38 Tl.upf
ATOMIC_POSITIONS crystal
Nb 0.000 0.000 0.000
Tc 0.500 0.500 0.500
Tl 0.250 0.250 0.250
Tl 0.750 0.750 0.750
CELL_PARAMETERS angstrom
0.000 3.376 3.376
3.376 0.000 3.376
3.376 3.376 0.000
```